(1)
# ZrScOs2 | Alexandria | PBE | optimized geometry
# SG	P4/mmm
# E above lowest polymorph	0.01	eV per formula unit
# calculated formation energy	-0.473	eV per atom
data_ZrScOs2
_cell_length_a 3.259
_cell_length_b 3.259
_cell_length_c 6.480
_cell_angle_alpha 90.00
_cell_angle_beta 90.00
_cell_angle_gamma 90.00
_space_group_name_H-M_alt 'P 1'
_space_group_IT_number 1
loop_
_space_group_symop_operation_xyz
'x,y,z'
loop_
_atom_site_label
_atom_site_fract_x
_atom_site_fract_y
_atom_site_fract_z
Sc1 0.500 0.500 0.000
Os1 0.000 0.000 0.750
Os2 0.000 0.000 0.250
Zr1 0.500 0.500 0.500

(2)
# ZrScOs2 | Alexandria | PBE | optimized geometry
# SG	Imm2
# E above lowest polymorph	0.82	eV per formula unit
# calculated formation energy	-0.270	eV per atom
data_ZrScOs2
_cell_length_a 5.485
_cell_length_b 5.485
_cell_length_c 5.485
_cell_angle_alpha 145.57
_cell_angle_beta 131.49
_cell_angle_gamma 60.83
_space_group_name_H-M_alt 'P 1'
_space_group_IT_number 1
loop_
_space_group_symop_operation_xyz
'x,y,z'
loop_
_atom_site_label
_atom_site_fract_x
_atom_site_fract_y
_atom_site_fract_z
Os1 0.243 0.743 0.500
Os2 0.006 0.006 0.000
Sc1 0.493 0.493 0.000
Zr1 0.759 0.259 0.500

(3)
# ZrSc3Os4 | Alexandria | PBE | optimized geometry
# SG	P4/mmm
# calculated formation energy	-0.400	eV per atom
data_ZrSc3Os4
_cell_length_a 4.570
_cell_length_b 6.479
_cell_length_c 9.140
_cell_angle_alpha 90.00
_cell_angle_beta 90.00
_cell_angle_gamma 90.00
_space_group_name_H-M_alt 'P 1'
_space_group_IT_number 1
loop_
_space_group_symop_operation_xyz
'x,y,z'
loop_
_atom_site_label
_atom_site_fract_x
_atom_site_fract_y
_atom_site_fract_z
Os1 0.500 0.750 0.000
Os2 0.000 0.250 0.750
Os3 0.000 0.250 0.250
Os4 0.500 0.250 0.000
Os5 0.500 0.250 0.500
Os6 0.500 0.750 0.500
Os7 0.000 0.750 0.250
Os8 0.000 0.750 0.750
Sc1 0.500 0.000 0.750
Sc2 0.500 0.000 0.250
Sc3 0.500 0.500 0.250
Sc4 0.500 0.500 0.750
Sc5 0.000 0.000 0.500
Sc6 0.000 0.000 0.000
Zr1 0.000 0.500 0.500
Zr2 0.000 0.500 0.000

(4)
# ZrScOs2 | Alexandria | PBE | optimized geometry
# SG	C2/m
# E above lowest polymorph	1.48	eV per formula unit
# calculated formation energy	-0.106	eV per atom
data_ZrScOs2
_cell_length_a 5.232
_cell_length_b 5.232
_cell_length_c 4.832
_cell_angle_alpha 62.32
_cell_angle_beta 62.32
_cell_angle_gamma 36.51
_space_group_name_H-M_alt 'P 1'
_space_group_IT_number 1
loop_
_space_group_symop_operation_xyz
'x,y,z'
loop_
_atom_site_label
_atom_site_fract_x
_atom_site_fract_y
_atom_site_fract_z
Os1 0.502 0.502 0.499
Os2 0.998 0.998 0.001
Sc1 0.750 0.750 0.750
Zr1 0.250 0.250 0.250

(5)
# ZrSc2Os | Alexandria | PBE | optimized geometry
# SG	R-3m
# E above lowest polymorph	1.21	eV per formula unit
# calculated formation energy	0.000	eV per atom
data_ZrSc2Os
_cell_length_a 9.625
_cell_length_b 9.625
_cell_length_c 9.625
_cell_angle_alpha 18.88
_cell_angle_beta 18.88
_cell_angle_gamma 18.88
_space_group_name_H-M_alt 'P 1'
_space_group_IT_number 1
loop_
_space_group_symop_operation_xyz
'x,y,z'
loop_
_atom_site_label
_atom_site_fract_x
_atom_site_fract_y
_atom_site_fract_z
Sc1 0.487 0.487 0.487
Sc2 0.013 0.013 0.013
Os1 0.750 0.750 0.750
Zr1 0.250 0.250 0.250

(6)
# ZrScOs2 | Alexandria | PBE | optimized geometry
# SG	F-43m
# E above lowest polymorph	1.58	eV per formula unit
# calculated formation energy	-0.079	eV per atom
data_ZrScOs2
_cell_length_a 4.567
_cell_length_b 4.567
_cell_length_c 4.567
_cell_angle_alpha 60.00
_cell_angle_beta 60.00
_cell_angle_gamma 60.00
_space_group_name_H-M_alt 'P 1'
_space_group_IT_number 1
loop_
_space_group_symop_operation_xyz
'x,y,z'
loop_
_atom_site_label
_atom_site_fract_x
_atom_site_fract_y
_atom_site_fract_z
Zr1 0.250 0.250 0.250
Os1 0.000 0.000 0.000
Os2 0.750 0.750 0.750
Sc1 0.500 0.500 0.500

(7)
# Zr2ScOs4 | Alexandria | PBE | optimized geometry
# SG	I4/mmm
# calculated formation energy	0.259	eV per atom
data_Zr2ScOs4
_cell_length_a 5.515
_cell_length_b 5.515
_cell_length_c 5.515
_cell_angle_alpha 108.02
_cell_angle_beta 110.20
_cell_angle_gamma 110.20
_space_group_name_H-M_alt 'P 1'
_space_group_IT_number 1
loop_
_space_group_symop_operation_xyz
'x,y,z'
loop_
_atom_site_label
_atom_site_fract_x
_atom_site_fract_y
_atom_site_fract_z
Os1 0.500 0.500 0.500
Os2 0.000 0.000 0.500
Os3 0.000 0.500 0.000
Os4 0.500 0.000 0.000
Sc1 0.000 0.000 0.000
Zr1 0.500 0.500 0.000
Zr2 0.500 0.000 0.500

(8)
# ZrScOs2 | Alexandria | PBE | optimized geometry
# SG	Fm-3m
# E above lowest polymorph	0.00	eV per formula unit
# calculated formation energy	-0.475	eV per atom
data_ZrScOs2
_cell_length_a 4.595
_cell_length_b 4.595
_cell_length_c 4.595
_cell_angle_alpha 60.00
_cell_angle_beta 60.00
_cell_angle_gamma 60.00
_space_group_name_H-M_alt 'P 1'
_space_group_IT_number 1
loop_
_space_group_symop_operation_xyz
'x,y,z'
loop_
_atom_site_label
_atom_site_fract_x
_atom_site_fract_y
_atom_site_fract_z
Sc1 0.000 0.000 0.000
Os1 0.750 0.750 0.750
Os2 0.250 0.250 0.250
Zr1 0.500 0.500 0.500

(9)
# ZrSc2Os | Alexandria | PBE | optimized geometry
# SG	C2/m
# E above lowest polymorph	1.25	eV per formula unit
# calculated formation energy	0.009	eV per atom
data_ZrSc2Os
_cell_length_a 5.525
_cell_length_b 5.506
_cell_length_c 3.030
_cell_angle_alpha 79.79
_cell_angle_beta 78.75
_cell_angle_gamma 116.62
_space_group_name_H-M_alt 'P 1'
_space_group_IT_number 1
loop_
_space_group_symop_operation_xyz
'x,y,z'
loop_
_atom_site_label
_atom_site_fract_x
_atom_site_fract_y
_atom_site_fract_z
Zr1 0.000 0.500 0.500
Os1 0.500 0.500 0.000
Sc1 0.500 0.000 0.500
Sc2 0.000 0.000 0.000

(10)
# ZrScOs2 | Alexandria | PBE | optimized geometry
# SG	Cmmm
# E above lowest polymorph	1.55	eV per formula unit
# calculated formation energy	-0.088	eV per atom
data_ZrScOs2
_cell_length_a 2.929
_cell_length_b 2.929
_cell_length_c 8.614
_cell_angle_alpha 90.00
_cell_angle_beta 90.00
_cell_angle_gamma 111.30
_space_group_name_H-M_alt 'P 1'
_space_group_IT_number 1
loop_
_space_group_symop_operation_xyz
'x,y,z'
loop_
_atom_site_label
_atom_site_fract_x
_atom_site_fract_y
_atom_site_fract_z
Os1 0.000 0.000 0.002
Os2 0.000 0.000 0.498
Zr1 0.500 0.500 0.750
Sc1 0.500 0.500 0.250

(11)
# ZrSc2Os | Alexandria | PBE | optimized geometry
# SG	P2/m
# E above lowest polymorph	0.70	eV per formula unit
# calculated formation energy	-0.127	eV per atom
data_ZrSc2Os
_cell_length_a 4.508
_cell_length_b 3.144
_cell_length_c 5.769
_cell_angle_alpha 74.58
_cell_angle_beta 90.00
_cell_angle_gamma 90.00
_space_group_name_H-M_alt 'P 1'
_space_group_IT_number 1
loop_
_space_group_symop_operation_xyz
'x,y,z'
loop_
_atom_site_label
_atom_site_fract_x
_atom_site_fract_y
_atom_site_fract_z
Zr1 0.500 0.250 0.250
Sc1 0.000 0.573 0.524
Sc2 0.000 0.927 0.976
Os1 0.500 0.750 0.750

(12)
# ZrScOs2 | Alexandria | PBE | optimized geometry
# SG	I-42d
# E above lowest polymorph	3.04	eV per formula unit
# calculated formation energy	0.285	eV per atom
data_ZrScOs2
_cell_length_a 7.286
_cell_length_b 7.286
_cell_length_c 5.850
_cell_angle_alpha 51.48
_cell_angle_beta 51.48
_cell_angle_gamma 90.00
_space_group_name_H-M_alt 'P 1'
_space_group_IT_number 1
loop_
_space_group_symop_operation_xyz
'x,y,z'
loop_
_atom_site_label
_atom_site_fract_x
_atom_site_fract_y
_atom_site_fract_z
Os1 0.627 0.125 0.250
Os2 0.375 0.373 0.750
Os3 0.875 0.877 0.750
Os4 0.123 0.625 0.250
Zr1 0.750 0.250 0.500
Zr2 0.000 0.000 0.000
Sc1 0.250 0.750 0.500
Sc2 0.500 0.500 0.000

(13)
# ZrSc2Os | Alexandria | PBE | optimized geometry
# SG	Pm
# E above lowest polymorph	0.73	eV per formula unit
# calculated formation energy	-0.121	eV per atom
data_ZrSc2Os
_cell_length_a 4.484
_cell_length_b 3.169
_cell_length_c 5.818
_cell_angle_alpha 75.55
_cell_angle_beta 90.00
_cell_angle_gamma 90.00
_space_group_name_H-M_alt 'P 1'
_space_group_IT_number 1
loop_
_space_group_symop_operation_xyz
'x,y,z'
loop_
_atom_site_label
_atom_site_fract_x
_atom_site_fract_y
_atom_site_fract_z
Sc1 0.500 0.251 0.249
Sc2 0.000 0.930 0.977
Zr1 0.000 0.567 0.529
Os1 0.500 0.752 0.744

(14)
# Zr6ScOs5 | Alexandria | PBE | optimized geometry
# SG	Cmmm
# calculated formation energy	-0.401	eV per atom
data_Zr6ScOs5
_cell_length_a 4.684
_cell_length_b 6.663
_cell_length_c 7.420
_cell_angle_alpha 90.00
_cell_angle_beta 108.38
_cell_angle_gamma 90.00
_space_group_name_H-M_alt 'P 1'
_space_group_IT_number 1
loop_
_space_group_symop_operation_xyz
'x,y,z'
loop_
_atom_site_label
_atom_site_fract_x
_atom_site_fract_y
_atom_site_fract_z
Zr1 0.829 0.746 0.658
Zr2 0.500 0.741 0.000
Zr3 0.171 0.746 0.342
Zr4 0.829 0.254 0.658
Zr5 0.500 0.259 0.000
Zr6 0.171 0.254 0.342
Os1 0.000 0.500 0.000
Os2 0.332 0.500 0.664
Os3 0.662 0.000 0.324
Os4 0.338 0.000 0.676
Os5 0.668 0.500 0.336
Sc1 0.000 0.000 0.000

(15)
# ZrSc2Os | Alexandria | PBE | optimized geometry
# SG	P4/mmm
# E above lowest polymorph	0.83	eV per formula unit
# calculated formation energy	-0.095	eV per atom
data_ZrSc2Os
_cell_length_a 4.759
_cell_length_b 4.058
_cell_length_c 4.058
_cell_angle_alpha 90.00
_cell_angle_beta 90.00
_cell_angle_gamma 90.00
_space_group_name_H-M_alt 'P 1'
_space_group_IT_number 1
loop_
_space_group_symop_operation_xyz
'x,y,z'
loop_
_atom_site_label
_atom_site_fract_x
_atom_site_fract_y
_atom_site_fract_z
Sc1 0.000 0.500 0.500
Sc2 0.000 0.000 0.000
Os1 0.500 0.000 0.500
Zr1 0.500 0.500 0.000

(16)
# Zr2Sc2Os3 | Alexandria | PBE | optimized geometry
# SG	C2/m
# calculated formation energy	-0.342	eV per atom
data_Zr2Sc2Os3
_cell_length_a 4.588
_cell_length_b 4.593
_cell_length_c 7.872
_cell_angle_alpha 90.02
_cell_angle_beta 107.00
_cell_angle_gamma 120.04
_space_group_name_H-M_alt 'P 1'
_space_group_IT_number 1
loop_
_space_group_symop_operation_xyz
'x,y,z'
loop_
_atom_site_label
_atom_site_fract_x
_atom_site_fract_y
_atom_site_fract_z
Sc1 0.743 0.871 0.615
Sc2 0.257 0.129 0.385
Os1 0.507 0.253 0.760
Os2 0.493 0.747 0.240
Os3 0.000 0.000 0.000
Zr1 0.759 0.379 0.138
Zr2 0.241 0.621 0.862

(17)
# ZrScOs2 | Alexandria | PBE | optimized geometry
# SG	Pm
# E above lowest polymorph	1.38	eV per formula unit
# calculated formation energy	-0.129	eV per atom
data_ZrScOs2
_cell_length_a 4.577
_cell_length_b 2.904
_cell_length_c 5.305
_cell_angle_alpha 77.32
_cell_angle_beta 90.00
_cell_angle_gamma 90.00
_space_group_name_H-M_alt 'P 1'
_space_group_IT_number 1
loop_
_space_group_symop_operation_xyz
'x,y,z'
loop_
_atom_site_label
_atom_site_fract_x
_atom_site_fract_y
_atom_site_fract_z
Zr1 0.500 0.763 0.761
Sc1 0.000 0.494 0.483
Os1 0.000 0.998 0.994
Os2 0.500 0.245 0.261

(18)
# ZrSc2Os | Alexandria | PBE | optimized geometry
# SG	Immm
# E above lowest polymorph	0.00	eV per formula unit
# calculated formation energy	-0.303	eV per atom
data_ZrSc2Os
_cell_length_a 5.839
_cell_length_b 5.839
_cell_length_c 5.839
_cell_angle_alpha 146.93
_cell_angle_beta 131.63
_cell_angle_gamma 59.84
_space_group_name_H-M_alt 'P 1'
_space_group_IT_number 1
loop_
_space_group_symop_operation_xyz
'x,y,z'
loop_
_atom_site_label
_atom_site_fract_x
_atom_site_fract_y
_atom_site_fract_z
Os1 0.250 0.750 0.500
Sc1 0.038 0.038 0.000
Sc2 0.462 0.462 0.000
Zr1 0.750 0.250 0.500

(19)
# ZrSc2Os | Alexandria | PBE | optimized geometry
# SG	Fm-3m
# E above lowest polymorph	1.17	eV per formula unit
# calculated formation energy	-0.010	eV per atom
data_ZrSc2Os
_cell_length_a 4.778
_cell_length_b 4.778
_cell_length_c 4.778
_cell_angle_alpha 60.00
_cell_angle_beta 60.00
_cell_angle_gamma 60.00
_space_group_name_H-M_alt 'P 1'
_space_group_IT_number 1
loop_
_space_group_symop_operation_xyz
'x,y,z'
loop_
_atom_site_label
_atom_site_fract_x
_atom_site_fract_y
_atom_site_fract_z
Os1 0.500 0.500 0.500
Sc1 0.250 0.250 0.250
Sc2 0.750 0.750 0.750
Zr1 0.000 0.000 0.000

(20)
# ZrScOs2 | Alexandria | PBE | optimized geometry
# SG	Pmm2
# E above lowest polymorph	1.77	eV per formula unit
# calculated formation energy	-0.033	eV per atom
data_ZrScOs2
_cell_length_a 2.995
_cell_length_b 4.369
_cell_length_c 5.442
_cell_angle_alpha 90.00
_cell_angle_beta 90.00
_cell_angle_gamma 90.00
_space_group_name_H-M_alt 'P 1'
_space_group_IT_number 1
loop_
_space_group_symop_operation_xyz
'x,y,z'
loop_
_atom_site_label
_atom_site_fract_x
_atom_site_fract_y
_atom_site_fract_z
Os1 0.500 0.500 0.284
Os2 0.000 0.000 0.973
Sc1 0.000 0.000 0.458
Zr1 0.500 0.500 0.785